Computed, not measured: Na2ErVO4 after structural relaxation at the PBE+U level of DFT.

```
Na2ErVO4
1.0
-1.797 2.634 0.669
1.025 -0.678 5.420
4.134 3.398 -2.273
Na Er V O
2 1 1 4
Direct
0.500 0.000 0.500
0.000 0.500 0.500
0.500 0.500 0.000
0.000 0.000 0.000
0.500 0.220 0.205
0.500 0.780 0.795
0.000 0.246 0.793
0.000 0.754 0.207
```

Total DFT energy (no corrections) = -53.4 eV per cell
Symmetry = No. 10